# 1
First-principles (PBE) data for a geometry-optimized LaSm2SnC structure, as listed in the Alexandria database.

Computed properties:
uncorrected energy	-6.02	eV/atom
mass density	7148	kg/m3

Unit cell a=5.1695 b=5.0628 c=5.0628 alpha=90.00 beta=90.00 gamma=90.00
Fractional positions:
Sn1 0.5000 0.5000 0.5000
C1 0.0000 0.0000 0.0000
La1 0.5000 0.0000 0.0000
Sm1 0.0000 0.0000 0.5000
Sm2 0.0000 0.5000 0.0000

# 2
First-principles (PBE) data for a geometry-optimized La2SmTc2C4 structure, as listed in the Alexandria database.

Computed properties:
uncorrected energy	-8.05	eV/atom
mass density	7429	kg/m3

Unit cell a=3.5799 b=7.3657 c=6.1402 alpha=106.40 beta=90.00 gamma=104.06
Fractional positions:
C1 0.2202 0.4405 0.1907
C2 0.5600 0.1199 0.7737
C3 0.7798 0.5595 0.8093
C4 0.4400 0.8801 0.2263
La1 0.8652 0.7304 0.4696
La2 0.1348 0.2696 0.5304
Tc1 0.3184 0.6367 0.9904
Tc2 0.6816 0.3633 0.0096
Sm1 0.0000 0.0000 0.0000

# 3
First-principles (PBE) data for a geometry-optimized La2SmTlC structure, as listed in the Alexandria database.

Computed properties:
uncorrected energy	-5.53	eV/atom
mass density	7687	kg/m3

Unit cell a=5.1131 b=5.2185 c=5.2185 alpha=90.00 beta=90.00 gamma=90.00
Fractional positions:
Sm1 0.5000 0.0000 0.0000
Tl1 0.5000 0.5000 0.5000
C1 0.0000 0.0000 0.0000
La1 0.0000 0.5000 0.0000
La2 0.0000 0.0000 0.5000